Density functional theory data (GGA-PBE) for a relaxed structure of Zr12ScZn3.

Cell lengths 4.4024, 4.4024, 17.6369 Å; angles 90.00, 90.00, 90.00 degrees
Sites, in units of the cell vectors:
Zr 0.5000 0.5000 0.0000
Zr 0.5000 0.5000 0.2566
Zr 0.5000 0.5000 0.5000
Zr 0.5000 0.5000 0.7434
Zr 0.5000 0.0000 0.1309
Zr 0.5000 0.0000 0.3774
Zr 0.5000 0.0000 0.6226
Zr 0.5000 0.0000 0.8691
Zr 0.0000 0.5000 0.1309
Zr 0.0000 0.5000 0.3774
Zr 0.0000 0.5000 0.6226
Zr 0.0000 0.5000 0.8691
Sc 0.0000 0.0000 0.0000
Zn 0.0000 0.0000 0.2558
Zn 0.0000 0.0000 0.5000
Zn 0.0000 0.0000 0.7442

magnetic moment: 0.00 μB/f.u.
space group: P4/mmm (123)
uncorrected energy: -114.089 eV per cell
E_form: -0.08 eV/atom
V: 341.8 Å³/f.u.

=====

Density functional theory data (GGA-PBE) for a relaxed structure of ZrScZn2.

Cell lengths 4.7651, 4.7651, 4.7651 Å; angles 60.00, 60.00, 60.00 degrees
Sites, in units of the cell vectors:
Sc 0.5000 0.5000 0.5000
Zn 0.0000 0.0000 0.0000
Zn 0.7500 0.7500 0.7500
Zr 0.2500 0.2500 0.2500

magnetic moment: 2.73 μB/f.u.
space group: F-43m (216)
uncorrected energy: -16.957 eV per cell
E_form: 0.12 eV/atom
V: 76.5 Å³/f.u.

=====

Density functional theory data (GGA-PBE) for a relaxed structure of ZrSc2Zn.

Cell lengths 5.2733, 5.2733, 3.1836 Å; angles 89.74, 89.74, 103.98 degrees
Sites, in units of the cell vectors:
Sc 0.0000 0.0000 0.0000
Sc 0.5000 0.5000 0.0000
Zn 0.5000 0.0000 0.5000
Zr 0.0000 0.5000 0.5000

magnetic moment: 0.33 μB/f.u.
space group: C2/m (12)
uncorrected energy: -22.523 eV per cell
E_form: -0.01 eV/atom
V: 85.9 Å³/f.u.

=====

Density functional theory data (GGA-PBE) for a relaxed structure of Zr4ScZn5.

Cell lengths 3.3406, 3.3406, 16.7298 Å; angles 90.00, 90.00, 90.00 degrees
Sites, in units of the cell vectors:
Zr 0.0000 0.0000 0.2001
Zr 0.0000 0.0000 0.4002
Zr 0.0000 0.0000 0.5998
Zr 0.0000 0.0000 0.7999
Sc 0.0000 0.0000 0.0000
Zn 0.5000 0.5000 0.0979
Zn 0.5000 0.5000 0.3002
Zn 0.5000 0.5000 0.5000
Zn 0.5000 0.5000 0.6998
Zn 0.5000 0.5000 0.9021

magnetic moment: 0.00 μB/f.u.
space group: P4/mmm (123)
uncorrected energy: -49.830 eV per cell
E_form: -0.29 eV/atom
V: 186.7 Å³/f.u.

=====

Density functional theory data (GGA-PBE) for a relaxed structure of ZrSc2Zn.

Cell lengths 7.7288, 7.7288, 6.2084 Å; angles 51.51, 51.51, 90.00 degrees
Sites, in units of the cell vectors:
Sc 0.5892 0.1250 0.2500
Sc 0.1608 0.6250 0.2500
Sc 0.3750 0.4108 0.7500
Sc 0.8750 0.8392 0.7500
Zn 0.5000 0.5000 0.0000
Zn 0.2500 0.7500 0.5000
Zr 0.0000 0.0000 0.0000
Zr 0.7500 0.2500 0.5000

magnetic moment: 0.00 μB/f.u.
space group: I-42d (122)
uncorrected energy: -43.796 eV per cell
E_form: 0.15 eV/atom
V: 88.0 Å³/f.u.

=====

Density functional theory data (GGA-PBE) for a relaxed structure of ZrScZn.

Cell lengths 4.5936, 4.5936, 4.5954 Å; angles 89.98, 120.02, 119.98 degrees
Sites, in units of the cell vectors:
Zr 0.9445 0.4722 0.4167
Sc 0.9444 0.9722 0.9166
Zn 0.4444 0.2222 0.6666

energy relative to the lowest polymorph listed for this composition: 386 meV per atom
magnetic moment: 0.98 μB/f.u.
space group: F-43m (216)
uncorrected energy: -15.655 eV per cell
E_form: 0.17 eV/atom
V: 68.6 Å³/f.u.

=====

Density functional theory data (GGA-PBE) for a relaxed structure of ZrSc3Zn4.

Cell lengths 3.3339, 3.3339, 13.4855 Å; angles 90.00, 90.00, 90.00 degrees
Sites, in units of the cell vectors:
Sc 0.5000 0.5000 0.2497
Sc 0.5000 0.5000 0.5000
Sc 0.5000 0.5000 0.7503
Zn 0.0000 0.0000 0.8727
Zn 0.0000 0.0000 0.1273
Zn 0.0000 0.0000 0.3734
Zn 0.0000 0.0000 0.6266
Zr 0.5000 0.5000 0.0000

magnetic moment: 0.00 μB/f.u.
space group: P4/mmm (123)
uncorrected energy: -35.392 eV per cell
E_form: -0.34 eV/atom
V: 149.9 Å³/f.u.

=====

Density functional theory data (GGA-PBE) for a relaxed structure of ZrScZn2.

Cell lengths 7.5594, 7.5594, 6.0368 Å; angles 51.24, 51.24, 90.00 degrees
Sites, in units of the cell vectors:
Sc 0.5000 0.5000 0.0000
Sc 0.2500 0.7500 0.5000
Zn 0.6239 0.1250 0.2500
Zn 0.1261 0.6250 0.2500
Zn 0.3750 0.3761 0.7500
Zn 0.8750 0.8739 0.7500
Zr 0.0000 0.0000 0.0000
Zr 0.7500 0.2500 0.5000

magnetic moment: 0.00 μB/f.u.
space group: I-42d (122)
uncorrected energy: -33.786 eV per cell
E_form: 0.13 eV/atom
V: 80.2 Å³/f.u.

=====

Density functional theory data (GGA-PBE) for a relaxed structure of Zr3ScZn.

Cell lengths 5.0148, 5.0148, 5.0148 Å; angles 90.00, 90.00, 90.00 degrees
Sites, in units of the cell vectors:
Sc 0.0000 0.0000 0.0000
Zn 0.5000 0.5000 0.5000
Zr 0.0000 0.5000 0.0000
Zr 0.0000 0.0000 0.5000
Zr 0.5000 0.0000 0.0000

energy relative to the lowest polymorph listed for this composition: 910 meV per atom
magnetic moment: 0.00 μB/f.u.
space group: Pm-3m (221)
uncorrected energy: -27.574 eV per cell
E_form: 1.14 eV/atom
V: 126.1 Å³/f.u.

=====

Density functional theory data (GGA-PBE) for a relaxed structure of Zr3Sc2Zn2.

Cell lengths 3.2112, 3.1546, 14.8406 Å; angles 90.00, 96.21, 90.00 degrees
Sites, in units of the cell vectors:
Zr 0.4239 0.5000 0.8478
Zr 0.5761 0.5000 0.1522
Zr 0.0000 0.0000 0.0000
Sc 0.2976 0.5000 0.5952
Sc 0.7024 0.5000 0.4048
Zn 0.1414 0.0000 0.2828
Zn 0.8586 0.0000 0.7172

magnetic moment: 0.66 μB/f.u.
space group: Cmmm (65)
uncorrected energy: -41.550 eV per cell
E_form: -0.10 eV/atom
V: 149.5 Å³/f.u.

=====

Density functional theory data (GGA-PBE) for a relaxed structure of Zr2Sc3Zn3.

Cell lengths 3.3118, 4.8112, 10.4747 Å; angles 103.28, 99.10, 90.00 degrees
Sites, in units of the cell vectors:
Zr 0.2684 0.7684 0.5368
Zr 0.7316 0.2316 0.4632
Sc 0.3777 0.3777 0.7553
Sc 0.6223 0.6223 0.2447
Sc 0.5000 0.0000 0.0000
Zn 0.8869 0.8869 0.7739
Zn 0.0000 0.5000 0.0000
Zn 0.1131 0.1131 0.2261

magnetic moment: 0.00 μB/f.u.
space group: Immm (71)
uncorrected energy: -41.969 eV per cell
E_form: -0.26 eV/atom
V: 160.3 Å³/f.u.

=====

Density functional theory data (GGA-PBE) for a relaxed structure of ZrSc2Zn2.

Cell lengths 7.7816, 7.7816, 3.3159 Å; angles 90.00, 90.00, 90.00 degrees
Sites, in units of the cell vectors:
Sc 0.1732 0.6732 0.5000
Sc 0.6732 0.8268 0.5000
Sc 0.8268 0.3268 0.5000
Sc 0.3268 0.1732 0.5000
Zn 0.3752 0.8752 0.0000
Zn 0.8752 0.6248 0.0000
Zn 0.6248 0.1248 0.0000
Zn 0.1248 0.3752 0.0000
Zr 0.0000 0.0000 0.0000
Zr 0.5000 0.5000 0.0000

energy relative to the lowest polymorph listed for this composition: 48 meV per atom
magnetic moment: 0.00 μB/f.u.
space group: P4/mbm (127)
uncorrected energy: -49.584 eV per cell
E_form: -0.21 eV/atom
V: 100.4 Å³/f.u.

=====

Density functional theory data (GGA-PBE) for a relaxed structure of Zr5ScZn6.

Cell lengths 4.7118, 6.7219, 8.1718 Å; angles 114.29, 106.76, 90.00 degrees
Sites, in units of the cell vectors:
Sc 0.0000 0.0000 0.0000
Zn 0.8351 0.5896 0.6703
Zn 0.8352 0.0807 0.6703
Zn 0.5000 0.7598 0.0000
Zn 0.5000 0.2402 0.0000
Zn 0.1648 0.9193 0.3297
Zn 0.1649 0.4104 0.3297
Zr 0.6698 0.1698 0.3396
Zr 0.3352 0.3352 0.6704
Zr 0.0000 0.5000 0.0000
Zr 0.6648 0.6648 0.3296
Zr 0.3302 0.8302 0.6604

magnetic moment: 0.00 μB/f.u.
space group: Immm (71)
uncorrected energy: -60.187 eV per cell
E_form: -0.29 eV/atom
V: 223.8 Å³/f.u.

=====

Density functional theory data (GGA-PBE) for a relaxed structure of Zr3ScZn.

Cell lengths 5.0337, 5.0337, 5.0337 Å; angles 90.00, 90.00, 90.00 degrees
Sites, in units of the cell vectors:
Sc 0.5000 0.5000 0.5000
Zn 0.0000 0.0000 0.0000
Zr 0.0000 0.5000 0.0000
Zr 0.0000 0.0000 0.5000
Zr 0.5000 0.0000 0.0000

energy relative to the lowest polymorph listed for this composition: 314 meV per atom
magnetic moment: 0.00 μB/f.u.
space group: Pm-3m (221)
uncorrected energy: -30.554 eV per cell
E_form: 0.54 eV/atom
V: 127.5 Å³/f.u.

=====

Density functional theory data (GGA-PBE) for a relaxed structure of Zr3Sc2Zn3.

Cell lengths 3.3672, 4.7785, 10.3028 Å; angles 103.41, 99.40, 90.00 degrees
Sites, in units of the cell vectors:
Zr 0.3783 0.3783 0.7565
Zr 0.6217 0.6217 0.2435
Zr 0.5000 0.0000 0.0000
Sc 0.2663 0.7663 0.5327
Sc 0.7337 0.2337 0.4673
Zn 0.8815 0.8815 0.7631
Zn 0.0000 0.5000 0.0000
Zn 0.1185 0.1185 0.2369

magnetic moment: 0.00 μB/f.u.
space group: Immm (71)
uncorrected energy: -43.771 eV per cell
E_form: -0.21 eV/atom
V: 159.0 Å³/f.u.

=====

Density functional theory data (GGA-PBE) for a relaxed structure of ZrScZn2.

Cell lengths 3.2453, 4.0652, 5.8957 Å; angles 90.00, 90.00, 90.00 degrees
Sites, in units of the cell vectors:
Sc 0.5000 0.5000 0.7757
Zn 0.0000 0.0000 0.9895
Zn 0.5000 0.5000 0.2605
Zr 0.0000 0.0000 0.4742

magnetic moment: 0.00 μB/f.u.
space group: Pmm2 (25)
uncorrected energy: -17.885 eV per cell
E_form: -0.11 eV/atom
V: 77.8 Å³/f.u.

=====

Density functional theory data (GGA-PBE) for a relaxed structure of ZrScZn4.

Cell lengths 4.3547, 5.4016, 5.4016 Å; angles 88.81, 66.20, 66.20 degrees
Sites, in units of the cell vectors:
Zr 0.5000 0.5000 0.5000
Sc 0.0000 0.0000 0.0000
Zn 0.7576 0.5753 0.9095
Zn 0.7576 0.9095 0.5753
Zn 0.2424 0.4247 0.0905
Zn 0.2424 0.0905 0.4247

energy relative to the lowest polymorph listed for this composition: 0 meV per atom
magnetic moment: 0.00 μB/f.u.
space group: Immm (71)
uncorrected energy: -21.915 eV per cell
E_form: -0.32 eV/atom
V: 104.8 Å³/f.u.

=====

Density functional theory data (GGA-PBE) for a relaxed structure of ZrSc2Zn.

Cell lengths 3.2756, 3.2756, 9.7282 Å; angles 80.31, 80.31, 60.00 degrees
Sites, in units of the cell vectors:
Zr 0.5002 0.5002 0.4994
Sc 0.0774 0.0774 0.7679
Sc 0.2561 0.2561 0.2317
Zn 0.6663 0.6663 0.0010

magnetic moment: 0.00 μB/f.u.
space group: R3m (160)
uncorrected energy: -22.780 eV per cell
E_form: -0.07 eV/atom
V: 88.7 Å³/f.u.

=====

Density functional theory data (GGA-PBE) for a relaxed structure of Zr4ScZn.

Cell lengths 3.2352, 3.2352, 12.6299 Å; angles 90.00, 90.00, 90.00 degrees
Sites, in units of the cell vectors:
Zr 0.5000 0.5000 0.1828
Zr 0.0000 0.0000 0.6432
Zr 0.0000 0.0000 0.3568
Zr 0.5000 0.5000 0.8172
Sc 0.0000 0.0000 0.0000
Zn 0.5000 0.5000 0.5000

energy relative to the lowest polymorph listed for this composition: 0 meV per atom
magnetic moment: 0.00 μB/f.u.
space group: P4/mmm (123)
uncorrected energy: -42.205 eV per cell
E_form: -0.07 eV/atom
V: 132.2 Å³/f.u.

=====

Density functional theory data (GGA-PBE) for a relaxed structure of ZrSc7.

Cell lengths 3.1828, 7.9792, 7.9792 Å; angles 78.91, 78.48, 78.48 degrees
Sites, in units of the cell vectors:
Zr 0.0000 0.0000 0.0000
Sc 0.7392 0.7604 0.7604
Sc 0.2608 0.2396 0.2396
Sc 0.0000 0.5000 0.5000
Sc 0.6298 0.6085 0.1321
Sc 0.3702 0.3915 0.8679
Sc 0.3702 0.8679 0.3915
Sc 0.6298 0.1321 0.6085

energy relative to the lowest polymorph listed for this composition: 7 meV per atom
magnetic moment: 0.00 μB/f.u.
space group: Immm (71)
uncorrected energy: -52.504 eV per cell
E_form: 0.05 eV/atom
V: 192.1 Å³/f.u.